Density functional theory data (PBE-GGA) for a geometry-optimized Ba2SnAu7 structure.

## Properties
Density of states at the Fermi level   3.87 states/eV/cell
Formation enthalpy at 0 K   -0.483 eV per atom
Spin magnetization   0.00 Bohr magnetons per cell

Cell lengths 4.5933, 4.5933, 12.1160 Å; angles 90.00, 90.00, 90.00 degrees
Last column: nearest neighbours and their distance in Å.
Atoms (fractional coordinates):
1 Ba 0.0000 0.5000 0.2385  12 Au 3.47-3.69
2 Ba 0.5000 0.0000 0.7615  12 Au 3.47-3.69
3 Sn 0.0000 0.0000 0.5000  4 Au 2.84
4 Au 0.0000 0.0000 0.0000  4 Au 2.83
5 Au 0.0000 0.5000 0.6378  3 Au 2.73-2.84, 2 Sn 2.84
6 Au 0.0000 0.5000 0.8628  5 Au 2.73-2.83
7 Au 0.5000 0.0000 0.1372  5 Au 2.73-2.83
8 Au 0.5000 0.0000 0.3622  3 Au 2.73-2.84, 2 Sn 2.84
9 Au 0.5000 0.5000 0.0000  4 Au 2.83
10 Au 0.5000 0.5000 0.5000  4 Au 2.84

Density functional theory data (PBE-GGA) for a geometry-optimized Tm6Ge2BiSe3 structure.

## Properties
Density of states at the Fermi level   2.24 states/eV/cell
Uncorrected formation energy   -1.303 eV/atom
Spin magnetization   0.00 Bohr magnetons per cell

Cell lengths 9.2253, 9.2253, 8.2918 Å; angles 102.26, 102.26, 25.91 degrees
Last column: nearest neighbours and their distance in Å.
Atoms (fractional coordinates):
1 Tm 0.0069 0.0069 0.2659  1 Ge 2.82, 3 Se 2.86-3.00, 2 Bi 3.01
2 Tm 0.3273 0.3273 0.8959  2 Ge 2.84, 3 Se 2.87-3.03, 1 Bi 3.04
3 Tm 0.3285 0.3285 0.4240  3 Ge 2.83-2.86, 3 Se 3.00-3.01
4 Tm 0.6715 0.6715 0.5760  3 Ge 2.83-2.86, 3 Se 3.00-3.01
5 Tm 0.6727 0.6727 0.1041  2 Ge 2.84, 3 Se 2.87-3.03, 1 Bi 3.04
6 Tm 0.9931 0.9931 0.7341  1 Ge 2.82, 3 Se 2.86-3.00, 2 Bi 3.01
7 Ge 0.1673 0.1673 0.3360  6 Tm 2.82-2.86
8 Ge 0.8327 0.8327 0.6640  6 Tm 2.82-2.86
9 Bi 0.5000 0.5000 0.0000  6 Tm 3.01-3.04
10 Se 0.1640 0.1640 0.8343  6 Tm 2.87-3.03
11 Se 0.5000 0.5000 0.5000  6 Tm 2.86-3.01
12 Se 0.8360 0.8360 0.1657  6 Tm 2.87-3.03

Density functional theory data (PBE-GGA) for a geometry-optimized Pr2MnZn2Pt5 structure.

## Properties
Density of states at the Fermi level   7.46 states/eV/cell
Formation enthalpy at 0 K   -0.708 eV per atom
Spin magnetization   7.75 Bohr magnetons per cell

Cell lengths 9.7934, 9.7934, 3.8189 Å; angles 90.00, 90.00, 90.00 degrees
Last column: nearest neighbours and their distance in Å.
Atoms (fractional coordinates):
1 Pr 0.1775 0.3225 0.0000  3 Zn 2.79-2.98, 2 Pt 3.11
2 Pr 0.3225 0.8225 0.0000  3 Zn 2.79-2.98, 2 Pt 3.11
3 Pr 0.6775 0.1775 0.0000  3 Zn 2.79-2.98, 2 Pt 3.11
4 Pr 0.8225 0.6775 0.0000  3 Zn 2.79-2.98, 2 Pt 3.11
5 Mn 0.0000 0.0000 0.0000  8 Pt 2.81
6 Mn 0.5000 0.5000 0.0000  8 Pt 2.81
7 Zn 0.1212 0.6212 0.0000  6 Pt 2.54-2.65, 1 Pr 2.79
8 Zn 0.3788 0.1212 0.0000  6 Pt 2.54-2.65, 1 Pr 2.79
9 Zn 0.6212 0.8788 0.0000  6 Pt 2.54-2.65, 1 Pr 2.79
10 Zn 0.8788 0.3788 0.0000  6 Pt 2.54-2.65, 1 Pr 2.79
11 Pt 0.0000 0.5000 0.5000  4 Zn 2.54
12 Pt 0.0605 0.7980 0.5000  2 Zn 2.65, 2 Mn 2.81, 2 Pt 2.92
13 Pt 0.2020 0.0605 0.5000  2 Zn 2.65, 2 Mn 2.81, 2 Pt 2.92
14 Pt 0.2980 0.5605 0.5000  2 Zn 2.65, 2 Mn 2.81, 2 Pt 2.92
15 Pt 0.4395 0.2980 0.5000  2 Zn 2.65, 2 Mn 2.81, 2 Pt 2.92
16 Pt 0.5000 0.0000 0.5000  4 Zn 2.54
17 Pt 0.5605 0.7020 0.5000  2 Zn 2.65, 2 Mn 2.81, 2 Pt 2.92
18 Pt 0.7020 0.4395 0.5000  2 Zn 2.65, 2 Mn 2.81, 2 Pt 2.92
19 Pt 0.7980 0.9395 0.5000  2 Zn 2.65, 2 Mn 2.81, 2 Pt 2.92
20 Pt 0.9395 0.2020 0.5000  2 Zn 2.65, 2 Mn 2.81, 2 Pt 2.92

Density functional theory data (PBE-GGA) for a geometry-optimized RbSr2CeCl8 structure.

## Properties
Density of states at the Fermi level   7.80 states/eV/cell
Uncorrected formation energy   -2.284 eV/atom
Spin magnetization   1.00 Bohr magnetons per cell

Cell lengths 6.7329, 9.1886, 6.8792 Å; angles 90.00, 90.16, 90.00 degrees
Last column: nearest neighbours and their distance in Å.
Atoms (fractional coordinates):
1 Rb 0.0000 0.0000 0.0000  6 Cl 3.15-3.27
2 Sr 0.5000 0.2476 0.5000  6 Cl 2.87-3.05
3 Sr 0.5000 0.7524 0.5000  6 Cl 2.87-3.05
4 Ce 0.0000 0.5000 0.0000  6 Cl 2.75-2.86
5 Cl 0.2295 0.2868 0.1695  1 Ce 2.75, 1 Sr 2.93
6 Cl 0.2295 0.7132 0.1695  1 Ce 2.75, 1 Sr 2.93
7 Cl 0.2695 0.5000 0.6798  1 Ce 2.86, 2 Sr 3.05
8 Cl 0.2819 0.0000 0.6360  2 Sr 2.87, 1 Rb 3.15
9 Cl 0.7181 0.0000 0.3640  2 Sr 2.87, 1 Rb 3.15
10 Cl 0.7305 0.5000 0.3202  1 Ce 2.86, 2 Sr 3.05
11 Cl 0.7705 0.2868 0.8305  1 Ce 2.75, 1 Sr 2.93
12 Cl 0.7705 0.7132 0.8305  1 Ce 2.75, 1 Sr 2.93

Density functional theory data (PBE-GGA) for a geometry-optimized Sr2Cd6Ag3 structure.

## Properties
Density of states at the Fermi level   5.10 states/eV/cell
Formation enthalpy at 0 K   -0.205 eV per atom
Spin magnetization   0.00 Bohr magnetons per cell

Cell lengths 8.5566, 8.5566, 4.5187 Å; angles 90.00, 90.00, 120.00 degrees
Last column: nearest neighbours and their distance in Å.
Atoms (fractional coordinates):
1 Sr 0.3333 0.6667 0.0000  6 Ag 3.47, 9 Cd 3.57-3.84
2 Sr 0.6667 0.3333 0.0000  6 Ag 3.47, 9 Cd 3.57-3.84
3 Cd 0.0000 0.2793 0.5000  3 Ag 2.79-3.01, 4 Cd 3.11
4 Cd 0.0000 0.8013 0.0000  2 Ag 2.81, 6 Cd 2.94-3.11
5 Cd 0.1987 0.1987 0.0000  2 Ag 2.81, 6 Cd 2.94-3.11
6 Cd 0.2793 0.0000 0.5000  3 Ag 2.79-3.01, 4 Cd 3.11
7 Cd 0.7207 0.7207 0.5000  3 Ag 2.79-3.01, 4 Cd 3.11
8 Cd 0.8013 0.0000 0.0000  2 Ag 2.81, 6 Cd 2.94-3.11
9 Ag 0.0000 0.6052 0.5000  5 Cd 2.79-3.01
10 Ag 0.3948 0.3948 0.5000  5 Cd 2.79-3.01
11 Ag 0.6052 0.0000 0.5000  5 Cd 2.79-3.01

Density functional theory data (PBE-GGA) for a geometry-optimized KFeSb2I structure.

## Properties
Density of states at the Fermi level   11.62 states/eV/cell
Energy above the lowest structure with this stoichiometry   1.1292 eV/atom
Uncorrected formation energy   1.100 eV/atom
Spin magnetization   3.63 Bohr magnetons per cell

Cell lengths 5.9335, 5.9335, 6.0647 Å; angles 90.00, 90.00, 90.00 degrees
Last column: nearest neighbours and their distance in Å.
Atoms (fractional coordinates):
1 K 0.0000 0.0000 0.0000  2 I 3.03
2 Fe 0.5000 0.5000 0.0000  4 K 4.20, 8 Sb 4.24
3 Sb 0.0000 0.5000 0.5000  2 I 2.97
4 Sb 0.5000 0.0000 0.5000  2 I 2.97
5 I 0.0000 0.0000 0.5000  4 Sb 2.97, 2 K 3.03

Density functional theory data (PBE-GGA) for a geometry-optimized LiLaMg structure.

## Properties
Density of states at the Fermi level   2.75 states/eV/cell
Formation enthalpy at 0 K   0.070 eV per atom
Energy above the lowest structure with this stoichiometry   0.1008 eV/atom
Spin magnetization   0.00 Bohr magnetons per cell

Cell lengths 3.4536, 3.4536, 8.0172 Å; angles 90.00, 90.00, 120.00 degrees
Last column: nearest neighbours and their distance in Å.
Atoms (fractional coordinates):
1 Li 0.0000 0.0000 0.0000  3 Mg 3.05
2 La 0.3333 0.6667 0.6417  6 La 3.45, 3 Mg 3.46, 3 Li 3.50
3 Mg 0.6667 0.3333 0.2886  3 Li 3.05

Density functional theory data (PBE-GGA) for a geometry-optimized ReSbTe4 structure.

## Properties
Density of states at the Fermi level   3.66 states/eV/cell
Uncorrected formation energy   1.340 eV/atom
Spin magnetization   4.11 Bohr magnetons per cell

Cell lengths 6.2525, 6.2525, 6.2525 Å; angles 60.00, 60.00, 60.00 degrees
Last column: nearest neighbours and their distance in Å.
Atoms (fractional coordinates):
1 Re 0.0000 0.0000 0.0000  12 Te 3.66, 4 Sb 3.83
2 Sb 0.7500 0.7500 0.7500  12 Te 3.67, 4 Re 3.83
3 Te 0.3745 0.3745 0.3745  6 Te 3.11-3.14
4 Te 0.3745 0.3745 0.8766  6 Te 3.11-3.14
5 Te 0.3745 0.8766 0.3745  6 Te 3.11-3.14
6 Te 0.8766 0.3745 0.3745  6 Te 3.11-3.14

Density functional theory data (PBE-GGA) for a geometry-optimized Ba2AcMnS5 structure.

## Properties
Density of states at the Fermi level   6.67 states/eV/cell
Uncorrected formation energy   -1.656 eV/atom
Spin magnetization   8.00 Bohr magnetons per cell

Cell lengths 9.4774, 9.4774, 13.1749 Å; angles 90.00, 90.00, 153.63 degrees
Last column: nearest neighbours and their distance in Å.
Atoms (fractional coordinates):
1 Ba 0.1186 0.8814 0.5000  7 S 3.19-3.42
2 Ba 0.1245 0.8755 0.1524  7 S 3.19-3.37
3 Ba 0.8755 0.1245 0.6524  7 S 3.19-3.37
4 Ba 0.8814 0.1186 0.0000  7 S 3.19-3.42
5 Ac 0.1966 0.8034 0.8435  6 S 2.87-3.12
6 Ac 0.8034 0.1966 0.3435  6 S 2.87-3.12
7 Mn 0.4469 0.5531 0.2174  4 S 2.22-2.34
8 Mn 0.5531 0.4469 0.7174  4 S 2.22-2.34
9 S 0.0339 0.9661 0.7793  2 Mn 2.34
10 S 0.2993 0.7007 0.4936  2 Ac 2.93
11 S 0.3229 0.6771 0.1841  1 Mn 2.33
12 S 0.3514 0.6486 0.8269  1 Ac 2.87, 4 Ba 3.19
13 S 0.4938 0.5062 0.5705  1 Mn 2.22
14 S 0.5062 0.4938 0.0705  1 Mn 2.22
15 S 0.6486 0.3514 0.3269  1 Ac 2.87, 4 Ba 3.19
16 S 0.6771 0.3229 0.6841  1 Mn 2.33
17 S 0.7007 0.2993 0.9936  2 Ac 2.93
18 S 0.9661 0.0339 0.2793  2 Mn 2.34

Density functional theory data (PBE-GGA) for a geometry-optimized Sm3MgCd3 structure.

## Properties
Density of states at the Fermi level   11.09 states/eV/cell
Formation enthalpy at 0 K   -0.135 eV per atom
Spin magnetization   1.26 Bohr magnetons per cell

Cell lengths 7.5249, 7.5249, 7.0926 Å; angles 90.00, 90.00, 91.59 degrees
Last column: nearest neighbours and their distance in Å.
Atoms (fractional coordinates):
1 Sm 0.9996 0.9996 0.2504  6 Cd 3.36-3.58, 6 Sm 3.54-3.76
2 Sm 0.0004 0.0004 0.7496  6 Cd 3.36-3.58, 6 Sm 3.54-3.76
3 Sm 0.0007 0.4993 0.2489  6 Cd 3.17-3.26, 2 Mg 3.34, 1 Sm 3.53
4 Sm 0.4993 0.0007 0.2489  6 Cd 3.17-3.26, 2 Mg 3.34, 1 Sm 3.53
5 Sm 0.5007 0.9993 0.7511  6 Cd 3.17-3.26, 2 Mg 3.34, 1 Sm 3.53
6 Sm 0.9993 0.5007 0.7511  6 Cd 3.17-3.26, 2 Mg 3.34, 1 Sm 3.53
7 Mg 0.3311 0.3311 0.5010  2 Cd 3.09, 4 Sm 3.34
8 Mg 0.6689 0.6689 0.4990  2 Cd 3.09, 4 Sm 3.34
9 Cd 0.2651 0.7349 0.5000  2 Mg 3.09, 6 Sm 3.17-3.36
10 Cd 0.2853 0.7147 0.0000  2 Cd 3.16, 4 Sm 3.18-3.19
11 Cd 0.2958 0.2958 0.9986  2 Cd 3.16, 4 Sm 3.26
12 Cd 0.7042 0.7042 0.0014  2 Cd 3.16, 4 Sm 3.26
13 Cd 0.7147 0.2853 0.0000  2 Cd 3.16, 4 Sm 3.18-3.19
14 Cd 0.7349 0.2651 0.5000  2 Mg 3.09, 6 Sm 3.17-3.36